Here is crystalline HfTaV4 at its relaxed geometry from Alexandria. Energies are from GGA-PBE.

- Mass density: 9.93 g/cm3
- Electronic total energy: -9.74 eV/atom
- V: 94.2 Å³ per cell
- DOS(E_F): 13.70 states/eV/f.u.

Unit cell a=5.1065 b=5.1065 c=5.1065 alpha=60.00 beta=60.00 gamma=60.00
With the nearest neighbours (Å) after each atom.
Sites, in units of the cell vectors:
V: 0.1255 0.6248 0.6248  6 V 2.55-2.56
V: 0.6248 0.6248 0.1255  6 V 2.55-2.56
V: 0.6248 0.6248 0.6248  6 V 2.55-2.56
V: 0.6248 0.1255 0.6248  6 V 2.55-2.56
Hf: 0.2500 0.2500 0.2500  12 V 2.99, 4 Ta 3.13
Ta: 0.0000 0.0000 0.0000  12 V 2.99, 4 Hf 3.13